5
Lattice="-0.5362 1.9001 -5.4665 3.4646 -4.2920 -1.8317 -4.6357 -3.4275 -0.7367" Properties=species:S:1:pos:R:3 comment="Na4Li | the Alexandria database | PBE | relaxed" space_group="No. 221" e_above_lowest_polymorph_mev_per_atom=136.3 e_form_ev_per_atom=0.18 n_ef_per_ev_cell=2.46 pbc="T T T"
Li -0.8537 -2.9097 -4.0174
Na -2.5859 -0.7637 -3.1016
Na 0.0000 0.0000 0.0000
Na -0.5856 -3.8598 -1.2842
Na 1.4642 -1.1960 -3.6491